#i
First-principles (PBE) data for crystalline HgPbS at its relaxed geometry, as listed in the Alexandria database.

Calculated values
Theoretical density, g cm⁻³: 8.33
SG: I4mm, No. 107

abc: 6.9238 6.9238 6.9238
angles: 149.02 149.02 44.38
Atoms (fractional coordinates):
Hg (0.0000, 0.0000, 0.0000)
Pb (0.2852, 0.2852, 0.0000)
S (0.6926, 0.6926, 0.0000)

---

#ii
First-principles (PBE) data for crystalline HgPbS at its relaxed geometry, as listed in the Alexandria database.

Calculated values
Theoretical density, g cm⁻³: 8.66
SG: C2/m, No. 12
Density of states at the Fermi level, states/eV per atom: 0.108

abc: 4.2510 4.2510 9.3355
angles: 90.30 90.30 90.36
Atoms (fractional coordinates):
Hg (0.0000, 0.5000, 0.0000)
Hg (0.5000, 0.0000, 0.0000)
Pb (0.2475, 0.2475, 0.3471)
Pb (0.7525, 0.7525, 0.6529)
S (0.2517, 0.2517, 0.6410)
S (0.7483, 0.7483, 0.3590)

---

It comes down to #ii, which is 129 meV/atom more stable than the next structure.

---

#i
First-principles (PBE) data for crystalline Hg2Pb2S at its relaxed geometry, as listed in the Alexandria database.

Calculated values
Theoretical density, g cm⁻³: 9.54
SG: P4/mbm, No. 127
Density of states at the Fermi level, states/eV per atom: 0.525

abc: 7.7346 7.7346 4.9330
angles: 90.00 90.00 90.00
Atoms (fractional coordinates):
Hg (0.1471, 0.3529, 0.0000)
Hg (0.3529, 0.8529, 0.0000)
Hg (0.6471, 0.1471, 0.0000)
Hg (0.8529, 0.6471, 0.0000)
Pb (0.1718, 0.6718, 0.5000)
Pb (0.3282, 0.1718, 0.5000)
Pb (0.6718, 0.8282, 0.5000)
Pb (0.8282, 0.3282, 0.5000)
S (0.0000, 0.0000, 0.5000)
S (0.5000, 0.5000, 0.5000)

---

#ii
First-principles (PBE) data for crystalline Hg2Pb2S at its relaxed geometry, as listed in the Alexandria database.

Calculated values
Theoretical density, g cm⁻³: 9.92
SG: I4/mmm, No. 139
Density of states at the Fermi level, states/eV per atom: 0.426

abc: 9.0723 9.0723 9.0723
angles: 154.14 154.14 36.89
Atoms (fractional coordinates):
Hg (0.2500, 0.7500, 0.5000)
Hg (0.7500, 0.2500, 0.5000)
Pb (0.0888, 0.0888, 0.0000)
Pb (0.9112, 0.9112, 0.0000)
S (0.5000, 0.5000, 0.0000)

---

It comes down to #i, which is 71 meV/atom more stable than the next structure.

---

#i
First-principles (PBE) data for crystalline HgSb2Pb at its relaxed geometry, as listed in the Alexandria database.

Calculated values
Theoretical density, g cm⁻³: 9.55
SG: P4/mmm, No. 123
Density of states at the Fermi level, states/eV per atom: 0.546

abc: 4.0900 4.0900 6.7701
angles: 90.00 90.00 90.00
Atoms (fractional coordinates):
Hg (0.0000, 0.0000, 0.0000)
Sb (0.5000, 0.5000, 0.2221)
Sb (0.5000, 0.5000, 0.7779)
Pb (0.0000, 0.0000, 0.5000)

---

#ii
First-principles (PBE) data for crystalline HgSb2Pb at its relaxed geometry, as listed in the Alexandria database.

Calculated values
Theoretical density, g cm⁻³: 9.21
SG: Pm, No. 6
Density of states at the Fermi level, states/eV per atom: 0.406

abc: 3.2064 5.2305 6.9988
angles: 90.00 90.02 90.00
Atoms (fractional coordinates):
Hg (0.0000, 0.0000, 0.0000)
Sb (0.4941, 0.0000, 0.5155)
Sb (0.4961, 0.5000, 0.7399)
Pb (0.4997, 0.5000, 0.2206)

---

It comes down to #ii, which is 52 meV/atom more stable than the next structure.

---

#i
First-principles (PBE) data for crystalline Hg3SbPb3 at its relaxed geometry, as listed in the Alexandria database.

Calculated values
Theoretical density, g cm⁻³: 10.41
SG: R-3m, No. 166
Density of states at the Fermi level, states/eV per atom: 0.506

abc: 10.9134 10.9134 10.9134
angles: 37.36 37.36 37.36
Atoms (fractional coordinates):
Hg (0.1508, 0.1508, 0.5989)
Hg (0.1508, 0.5990, 0.1508)
Hg (0.4010, 0.8492, 0.8492)
Hg (0.5989, 0.1508, 0.1508)
Hg (0.8492, 0.4011, 0.8492)
Hg (0.8492, 0.8492, 0.4011)
Sb (0.2006, 0.2006, 0.2006)
Sb (0.7994, 0.7994, 0.7994)
Pb (0.2181, 0.7158, 0.7158)
Pb (0.2842, 0.2842, 0.7819)
Pb (0.2842, 0.7819, 0.2842)
Pb (0.7158, 0.2181, 0.7158)
Pb (0.7158, 0.7158, 0.2181)
Pb (0.7819, 0.2842, 0.2842)

---

#ii
First-principles (PBE) data for crystalline Hg3SbPb3 at its relaxed geometry, as listed in the Alexandria database.

Calculated values
Theoretical density, g cm⁻³: 7.87
SG: Pm-3n, No. 223
Density of states at the Fermi level, states/eV per atom: 0.834

abc: 8.2801 8.2801 8.2801
angles: 90.00 90.00 90.00
Atoms (fractional coordinates):
Hg (0.0000, 0.2500, 0.5000)
Hg (0.0000, 0.7500, 0.5000)
Hg (0.2500, 0.5000, 0.0000)
Hg (0.5000, 0.0000, 0.2500)
Hg (0.5000, 0.0000, 0.7500)
Hg (0.7500, 0.5000, 0.0000)
Sb (0.0000, 0.0000, 0.0000)
Sb (0.5000, 0.5000, 0.5000)
Pb (0.0000, 0.5000, 0.2500)
Pb (0.0000, 0.5000, 0.7500)
Pb (0.2500, 0.0000, 0.5000)
Pb (0.5000, 0.2500, 0.0000)
Pb (0.5000, 0.7500, 0.0000)
Pb (0.7500, 0.0000, 0.5000)

---

It comes down to #i, which is 520 meV/atom more stable than the next structure.